No. 1
NdTm2Tc, relaxed, DFT PBE-GGA; calculated total energy = -6.108 eV per atom; SG = Pnma; formation energy = -8.5 kJ per mole of atoms
1.0
-5.6771 -0.5599 2.6789
0.4153 -7.4747 -0.6822
3.8945 -0.5268 8.1432
Tm Tc Nd
8 4 4
Cartesian
-2.4677 -3.2027 6.6372 Tm
0.2716 -7.0289 8.8109 Tm
1.1004 -5.3588 3.5027 Tm
-0.1915 -1.7284 4.3554 Tm
-0.3471 -5.1630 0.4762 Tm
-1.6390 -1.5326 1.3290 Tm
-1.1758 -6.8331 5.7844 Tm
-1.0203 -3.3985 9.6636 Tm
-2.2194 -5.5433 8.2327 Tc
0.8521 -3.0182 1.9072 Tc
-1.2180 -6.9802 2.6409 Tc
-0.1493 -1.5813 7.4990 Tc
0.9734 -4.0358 6.8033 Nd
-2.3407 -4.5257 3.3366 Nd
2.6186 -7.6314 5.7838 Nd
-3.9859 -0.9301 4.3561 Nd


No. 2
NdTm3Tc, relaxed, DFT PBE-GGA; calculated total energy = -5.617 eV per atom; SG = Pm-3m; formation energy = 8.9 kJ per mole of atoms
1.0
5.3449 0.0000 0.0000
0.0000 5.3449 0.0000
0.0000 0.0000 5.3449
Tm Nd Tc
3 1 1
Cartesian
0.0000 2.6725 0.0000 Tm
2.6725 0.0000 0.0000 Tm
0.0000 0.0000 2.6725 Tm
2.6725 2.6725 2.6725 Nd
0.0000 0.0000 0.0000 Tc


No. 3
NdTm3Tc, relaxed, DFT PBE-GGA; calculated total energy = -5.734 eV per atom; SG = Pmmn; formation energy = -2.4 kJ per mole of atoms
1.0
4.5231 0.0000 0.0001
0.0000 8.4726 0.0000
-0.0001 0.0000 7.3806
Tc Nd Tm
2 2 6
Cartesian
1.1307 6.3545 7.1592 Tc
3.3923 2.1182 0.2214 Tc
1.1307 6.3545 4.1623 Nd
3.3923 2.1182 3.2184 Nd
3.3922 8.0496 6.1356 Tm
3.3923 6.3545 1.6077 Tm
1.1308 0.4231 1.2451 Tm
1.1308 3.8132 1.2451 Tm
1.1307 2.1182 5.7730 Tm
3.3922 4.6594 6.1356 Tm


No. 4
NdTmZnTc, relaxed, DFT PBE-GGA; calculated total energy = -5.307 eV per atom; SG = F-43m; formation energy = -8.4 kJ per mole of atoms
1.0
-2.4746 1.0995 4.1740
-0.3573 -3.3714 3.6416
2.4813 0.6677 4.2605
Tc Tm Nd Zn
1 1 1 1
Cartesian
-0.1754 -0.8021 6.0380 Tc
-0.2630 -1.2031 9.0571 Tm
-0.0877 -0.4010 3.0190 Nd
0.0000 0.0000 0.0000 Zn


No. 5
NdUTc, relaxed, DFT PBE-GGA; calculated total energy = -8.553 eV per atom; SG = P-6m2; formation energy = 24.6 kJ per mole of atoms
1.0
-0.8202 -1.4443 -4.5999
-3.5074 -2.1391 1.2970
-0.3205 4.1149 -1.2349
Tc U Nd
1 1 1
Cartesian
-0.1367 -0.2407 -0.7665 Tc
-2.5818 -0.2952 -0.3137 U
-1.9296 1.0673 -3.4575 Nd


No. 6
NdUTc, relaxed, DFT PBE-GGA; calculated total energy = -8.733 eV per atom; SG = I4mm; formation energy = 7.2 kJ per mole of atoms
1.0
-2.9640 1.1008 -1.4622
0.2736 -2.4853 -2.4256
-1.6233 -2.8814 5.2708
Tc U Nd
1 1 1
Cartesian
-1.7518 -2.1090 1.9633 Tc
-2.5475 -2.1397 -0.5964 U
-0.0143 -0.0172 0.0160 Nd


No. 7
NdV2Tc, relaxed, DFT PBE-GGA; calculated total energy = -8.150 eV per atom; SG = R-3m; formation energy = 18.6 kJ per mole of atoms
1.0
4.1917 0.0000 0.0000
2.0958 3.6301 0.0000
2.0958 1.2100 5.4314
Tc Nd V
1 1 2
Cartesian
4.1917 2.4201 2.7157 Tc
0.0000 0.0000 0.0000 Nd
6.2875 3.6301 3.2293 V
2.0958 1.2100 2.2022 V


No. 8
NdVTc, relaxed, DFT PBE-GGA; calculated total energy = -7.947 eV per atom; SG = P2_1/m; formation energy = 13.2 kJ per mole of atoms
1.0
-2.5634 -1.4945 3.9205
6.1063 -1.2526 4.0605
1.5929 6.1192 3.9195
Nd V Tc
4 4 4
Cartesian
4.9858 4.4608 7.3746 Nd
3.9995 1.3444 8.5158 Nd
1.1363 2.0277 3.3847 Nd
0.1500 -1.0888 4.5259 Nd
3.5092 3.5069 4.7699 V
-0.6300 3.5510 7.0601 V
5.7658 -0.1789 4.8404 V
1.6266 -0.1349 7.1306 V
1.3693 2.2281 6.4063 Tc
1.5100 4.8298 5.4236 Tc
3.7665 1.1440 5.4941 Tc
3.6259 -1.4578 6.4769 Tc


No. 9
NdTc2W, relaxed, DFT PBE-GGA; calculated total energy = -9.431 eV per atom; SG = P4/mmm; formation energy = 17.6 kJ per mole of atoms
1.0
3.2078 0.0000 0.0000
0.0000 3.2078 0.0000
0.0000 0.0000 7.1838
Tc W Nd
2 1 1
Cartesian
0.0000 0.0000 1.4688 Tc
0.0000 0.0000 5.7149 Tc
1.6039 1.6039 0.0000 W
1.6039 1.6039 3.5919 Nd


No. 10
NdY2Tc, relaxed, DFT PBE-GGA; calculated total energy = -6.976 eV per atom; SG = P4/mmm; formation energy = 3.8 kJ per mole of atoms
1.0
3.4733 0.0000 0.0000
0.0000 3.4733 0.0000
0.0000 0.0000 9.1589
Y Nd Tc
2 1 1
Cartesian
0.0000 0.0000 1.6567 Y
0.0000 0.0000 7.5022 Y
1.7366 1.7366 4.5794 Nd
1.7366 1.7366 0.0000 Tc


No. 11
NdY3Tc, relaxed, DFT PBE-GGA; calculated total energy = -6.774 eV per atom; SG = Pm-3m; formation energy = 12.7 kJ per mole of atoms
1.0
5.4315 0.0000 0.0000
0.0000 5.4315 0.0000
0.0000 0.0000 5.4315
Y Nd Tc
3 1 1
Cartesian
0.0000 2.7158 0.0000 Y
0.0000 0.0000 2.7158 Y
2.7158 0.0000 0.0000 Y
2.7158 2.7158 2.7158 Nd
0.0000 0.0000 0.0000 Tc


No. 12
NdY2Tc, relaxed, DFT PBE-GGA; calculated total energy = -7.066 eV per atom; SG = Pnma; formation energy = -4.9 kJ per mole of atoms
1.0
6.4171 0.0000 0.0000
0.0000 7.4937 0.0000
0.0000 0.0000 9.2779
Y Nd Tc
8 4 4
Cartesian
2.1760 1.3144 4.0346 Y
4.2411 6.1793 5.2433 Y
4.2411 6.1793 8.6735 Y
1.0326 5.0613 4.0346 Y
1.0326 5.0613 0.6044 Y
5.3845 2.4325 8.6735 Y
2.1760 1.3144 0.6044 Y
5.3845 2.4325 5.2433 Y
5.5953 0.3365 2.3195 Nd
4.0303 4.0834 2.3195 Nd
0.8218 7.1572 6.9584 Nd
2.3867 3.4103 6.9584 Nd
3.4427 0.8713 6.9584 Tc
2.9744 6.6224 2.3195 Tc
6.1829 4.6182 6.9584 Tc
0.2341 2.8755 2.3195 Tc


What is the formation energy in the fourth record? -8.4 kJ per mole of atoms


Which of these has the lowest calculated total energy? NdTc2W


Which of these has the highest calculated total energy? NdTmZnTc